Material: LiLa2Sb
Method: DFT, GGA-PBE
State: relaxed

Properties
* energy: -4.578 eV/atom
* mass density: 5.80 g cm⁻³
* N(E_F): 0.85 states/eV per atom
* size of the total moment: 0.0 μB/f.u.

Cell: 5.164 5.164 4.360 Å, 90.00 90.00 90.00°
Space group P4/mmm (No. 123)
Symmetry-distinct sites (fractional):
Li: 0.000 0.000 0.000 [1 per cell]
La: 0.000 0.500 0.500 [2 per cell]
Sb: 0.500 0.500 0.000 [1 per cell]

---

Material: LiLa2Sb
Method: DFT, GGA-PBE
State: relaxed

Properties
* energy: -4.595 eV/atom
* mass density: 5.54 g cm⁻³
* N(E_F): 1.00 states/eV per atom
* size of the total moment: 1.1 μB/f.u.

Cell: 4.532 4.453 12.071 Å, 90.00 90.00 90.00°
Space group Amm2 (No. 38)
Symmetry-distinct sites (fractional):
Li: 0.000 0.000 0.000 [2 per cell]
La: 0.000 0.000 0.711 [2 per cell]
La: 0.500 0.000 0.413 [2 per cell]
Sb: 0.500 0.000 0.132 [2 per cell]

---

Material: Li2LaSb
Method: DFT, GGA-PBE
State: relaxed

Properties
* energy: -3.599 eV/atom
* mass density: 4.14 g cm⁻³
* N(E_F): 0.36 states/eV per atom
* size of the total moment: 0.0 μB/f.u.

Cell: 5.101 5.920 7.297 Å, 90.00 90.00 90.00°
Space group Cmm2 (No. 35)
Symmetry-distinct sites (fractional):
Li: 0.000 0.000 0.000 [2 per cell]
Li: 0.000 0.500 0.192 [2 per cell]
La: 0.000 0.500 0.643 [2 per cell]
Sb: 0.000 0.000 0.392 [2 per cell]

---

Material: Li2LaSb
Method: DFT, GGA-PBE
State: relaxed

Properties
* energy: -3.701 eV/atom
* mass density: 4.58 g cm⁻³
* N(E_F): 0.28 states/eV per atom
* size of the total moment: 0.0 μB/f.u.

Cell: 5.172 5.237 7.351 Å, 90.00 90.00 90.00°
Space group Imm2 (No. 44)
Symmetry-distinct sites (fractional):
Li: 0.000 0.000 0.000 [2 per cell]
Li: 0.000 0.500 0.249 [2 per cell]
La: 0.000 0.000 0.496 [2 per cell]
Sb: 0.000 0.500 0.743 [2 per cell]